VASP calculation (SCAN) on a PBEsol-optimized structure of KMn4.

Results
The calculation puts the raw total energy at -14.457 eV per atom. The total moment comes out at 16.82 μB per formula unit. The value obtained for the energy of formation from the pure elements is 9.1 eV/f.u.

Cell: 5.168 5.168 5.168 Å, 109.47 109.47 109.47°
Each line ends with the local moment (μB).
Fractional positions:
Mn  0.000  0.000  0.500  4.04
Mn  0.500  0.000  0.000  4.04
K  0.000  0.000  0.000  -0.01
Mn  0.500  0.500  0.500  4.04
Mn  0.000  0.500  0.000  4.04

VASP calculation (SCAN) on a PBEsol-optimized structure of Mg2AgOs.

Results
The calculation puts the raw total energy at -27.980 eV per atom. The total moment comes out at 0.62 μB per formula unit. The value obtained for the energy of formation from the pure elements is 1.3 eV/f.u.

Cell: 2.779 2.779 9.422 Å, 90.00 90.00 113.44°
Each line ends with the local moment (μB).
Fractional positions:
Ag  0.500  0.500  0.254  0.01
Mg  0.500  0.500  0.732  0.00
Mg  0.000  0.000  0.011  0.00
Os  0.000  0.000  0.503  0.54

VASP calculation (SCAN) on a PBEsol-optimized structure of BeAu2Se.

Results
The calculation puts the raw total energy at -40.597 eV per atom. As for the uncorrected formation energy: 90 meV/atom. For the energy relative to the lowest polymorph listed for this composition, the calculation gives 0.109 eV/atom. The total moment comes out at 0.00 μB per formula unit.

Cell: 2.825 2.825 8.694 Å, 90.00 90.00 109.27°
Fractional positions:
Be  0.000  0.000  0.506
Au  0.000  0.000  0.975
Se  0.500  0.500  0.318
Au  0.500  0.500  0.701

VASP calculation (SCAN) on a PBEsol-optimized structure of ZrTeOsN2.

Results
The calculation puts the raw total energy at -31.040 eV per atom. As for the uncorrected formation energy: 642 meV/atom. For the energy relative to the lowest polymorph listed for this composition, the calculation gives 0.000 eV/atom. The total moment comes out at 0.51 μB per formula unit.

Cell: 3.895 3.895 5.514 Å, 90.00 90.00 90.00°
Each line ends with the local moment (μB).
Fractional positions:
Zr  0.500  0.500  0.500  0.33
N  0.000  0.500  0.000  0.02
N  0.500  0.000  0.000  0.02
Os  0.000  0.000  0.000  0.03
Te  0.000  0.000  0.500  -0.02

VASP calculation (SCAN) on a PBEsol-optimized structure of La3Sb2.

Results
The calculation puts the raw total energy at -41.805 eV per atom. As for the uncorrected formation energy: -1038 meV/atom. The total moment comes out at 1.66 μB per formula unit.

Cell: 5.393 5.393 6.619 Å, 90.00 90.00 120.00°
Each line ends with the local moment (μB).
Fractional positions:
La  0.333  0.667  0.308  -0.22
La  0.000  0.000  0.000  -0.41
Sb  0.333  0.667  0.798  0.04
Sb  0.667  0.333  0.202  0.04
La  0.667  0.333  0.692  -0.22

VASP calculation (SCAN) on a PBEsol-optimized structure of Sr5Mg4.

Results
The calculation puts the raw total energy at -14.555 eV per atom. The total moment comes out at 0.92 μB per formula unit. The value obtained for the energy of formation from the pure elements is 0.3 eV/f.u.

Cell: 7.208 10.500 10.500 Å, 120.00 90.00 90.00°
Fractional positions:
Sr  0.750  0.708  0.000
Mg  0.250  0.370  0.370
Mg  0.750  0.370  0.000
Sr  0.750  0.000  0.708
Sr  0.000  0.333  0.667
Mg  0.250  0.000  0.630
Sr  0.500  0.333  0.667
Sr  0.000  0.667  0.333
Sr  0.500  0.667  0.333
Mg  0.750  0.630  0.630
Sr  0.250  0.292  0.000
Sr  0.750  0.292  0.292
Mg  0.250  0.630  0.000
Sr  0.250  0.708  0.708
Sr  0.250  0.000  0.292
Mg  0.000  0.000  0.000
Mg  0.750  0.000  0.370
Mg  0.500  0.000  0.000

VASP calculation (SCAN) on a PBEsol-optimized structure of Ba2SrBeAl.

Results
The calculation puts the raw total energy at -22.357 eV per atom. The total moment comes out at 0.48 μB per formula unit. The value obtained for the energy of formation from the pure elements is 1.7 eV/f.u.

Cell: 4.553 6.578 6.578 Å, 90.00 90.00 90.00°
Fractional positions:
Be  0.500  0.000  0.000
Al  0.000  0.000  0.000
Ba  0.000  0.500  0.000
Ba  0.000  0.000  0.500
Sr  0.500  0.500  0.500

VASP calculation (SCAN) on a PBEsol-optimized structure of Os3Rh.

Results
The calculation puts the raw total energy at -62.301 eV per atom. The total moment comes out at 0.00 μB per formula unit. The value obtained for the energy of formation from the pure elements is 0.2 eV/f.u.

Cell: 2.717 4.714 5.098 Å, 117.54 105.46 90.00°
Fractional positions:
Rh  0.500  0.165  0.000
Os  0.747  0.747  0.495
Os  0.253  0.253  0.505
Os  0.000  0.668  0.000

> total moment of number 1 (KMn4)?

16.82 μB per formula unit

> Look up the raw total energy of the fifth one.

-41.805 eV per atom